# PBE Y4Pb3, optimized geometry
data_Y4Pb3
_chemical_formula_sum 'Y4 Pb3'
_space_group_name_H-M_alt 'P 6/m m m'
_space_group_IT_number 191
_space_group_name_Hall '-P 6 2'
_cell_length_a 6.2993
_cell_length_b 6.2993
_cell_length_c 5.9837
_cell_angle_alpha 90.00
_cell_angle_beta 90.00
_cell_angle_gamma 120.00
loop_
_atom_site_label
_atom_site_type_symbol
_atom_site_fract_x
_atom_site_fract_y
_atom_site_fract_z
Y1 Y 0.0000 0.0000 0.2453
Y2 Y 0.3333 0.6667 0.0000
Pb1 Pb 0.0000 0.5000 0.5000
# - Relative energy among the computed polymorphs: 0.302 eV/atom
# - Spin magnetization: 0.62 μB/cell
# - Formation enthalpy at 0 K: -0.282 eV per atom
# - Crystal system: hexagonal
# - V: 29.38 A^3/atom
# - DOS(E_F): 5.84 states/eV per cell


# PBE Nd4TlPd12, optimized geometry
data_Nd4TlPd12
_chemical_formula_sum 'Nd8 Tl2 Pd24'
_space_group_name_H-M_alt 'I m -3 m'
_space_group_IT_number 229
_space_group_name_Hall '-I 4 2 3'
_cell_length_a 8.7139
_cell_length_b 8.7139
_cell_length_c 8.7139
_cell_angle_alpha 90.00
_cell_angle_beta 90.00
_cell_angle_gamma 90.00
loop_
_atom_site_label
_atom_site_type_symbol
_atom_site_fract_x
_atom_site_fract_y
_atom_site_fract_z
Nd1 Nd 0.2500 0.2500 0.2500
Tl1 Tl 0.0000 0.0000 0.0000
Pd1 Pd 0.0000 0.0000 0.3062
Pd2 Pd 0.0000 0.2500 0.5000
# - Spin magnetization: 0.00 μB/cell
# - Formation enthalpy at 0 K: -0.719 eV per atom
# - Crystal system: cubic
# - V: 19.46 A^3/atom
# - DOS(E_F): 7.71 states/eV per cell


# PBE MnCuP2, optimized geometry
data_MnCuP2
_chemical_formula_sum 'Mn4 Cu4 P8'
_space_group_name_H-M_alt 'I -4 2 d'
_space_group_IT_number 122
_space_group_name_Hall 'I -4 2bw'
_cell_length_a 5.2351
_cell_length_b 5.2351
_cell_length_c 10.3481
_cell_angle_alpha 90.00
_cell_angle_beta 90.00
_cell_angle_gamma 90.00
loop_
_atom_site_label
_atom_site_type_symbol
_atom_site_fract_x
_atom_site_fract_y
_atom_site_fract_z
Mn1 Mn 0.0000 0.0000 0.0000
Cu1 Cu 0.0000 0.0000 0.5000
P1 P 0.2381 0.2500 0.1250
# - Spin magnetization: 7.75 μB/cell
# - Formation enthalpy at 0 K: 0.076 eV per atom
# - Crystal system: tetragonal
# - V: 17.73 A^3/atom
# - DOS(E_F): 6.04 states/eV per cell


# PBE NaAc2Cr2N6, optimized geometry
data_NaAc2Cr2N6
_chemical_formula_sum 'Na1 Ac2 Cr2 N6'
_space_group_name_H-M_alt 'P -1'
_space_group_IT_number 2
_space_group_name_Hall '-P 1'
_cell_length_a 6.4358
_cell_length_b 6.4468
_cell_length_c 6.9599
_cell_angle_alpha 103.32
_cell_angle_beta 114.26
_cell_angle_gamma 107.86
loop_
_atom_site_label
_atom_site_type_symbol
_atom_site_fract_x
_atom_site_fract_y
_atom_site_fract_z
Na1 Na 0.0000 0.0000 0.0000
Ac1 Ac 0.3862 0.2940 0.6799
Cr1 Cr 0.0646 0.6388 0.7028
N1 N 0.1304 0.9030 0.6778
N2 N 0.2245 0.4505 0.3211
N3 N 0.3007 0.5905 0.8904
# - Spin magnetization: 0.39 μB/cell
# - Crystal system: triclinic
# - V: 20.77 A^3/atom
# - Raw formation energy: -0.47 eV per atom
# - DOS(E_F): 5.05 states/eV per cell